No. 1
BaY3O SCAN PBEsol geometry; magnetic moment = 0.000 μB per formula unit; calculated density = 5.590 g cm⁻³; space group = No. 221; energy relative to the elements, uncorrected = -0.83 eV/atom
1.0
4.9971 0.0000 0.0000
0.0000 4.9971 0.0000
0.0000 0.0000 4.9971
Ba O Y
1 1 3
Direct
0.5000 0.5000 0.5000 Ba
0.0000 0.0000 0.0000 O
0.5000 0.0000 0.0000 Y
0.0000 0.5000 0.0000 Y
0.0000 0.0000 0.5000 Y


No. 2
CaPbW SCAN PBEsol geometry; magnetic moment = 3.692 μB per formula unit; energy of formation from the pure elements = 3.24 eV per formula unit; calculated density = 8.826 g cm⁻³; space group = No. 216
1.0
-4.5955 1.1173 -1.1141
-3.6399 -2.7673 1.6436
-2.9870 1.7025 3.4333
Pb W Ca
1 1 1
Direct
0.5000 0.5000 0.5000 Pb
0.2500 0.2500 0.2500 W
0.0000 0.0000 0.0000 Ca


No. 3
KPb3F SCAN PBEsol geometry; magnetic moment = 0.007 μB per formula unit; calculated density = 5.354 g cm⁻³; space group = No. 221; energy relative to the elements, uncorrected = 0.78 eV/atom
1.0
5.9516 0.0000 0.0000
0.0000 5.9516 0.0000
0.0000 0.0000 5.9516
K F Pb
1 1 3
Direct
0.0000 0.0000 0.0000 K
0.5000 0.5000 0.5000 F
0.0000 0.5000 0.0000 Pb
0.5000 0.0000 0.0000 Pb
0.0000 0.0000 0.5000 Pb


No. 4
Cr2PtRh SCAN PBEsol geometry; magnetic moment = 0.001 μB per formula unit; energy of formation from the pure elements = -1.10 eV per formula unit; calculated density = 13.183 g cm⁻³; space group = No. 25
1.0
-1.5591 -0.8853 -1.9177
-2.3986 -1.9148 2.8339
-2.6020 3.7965 0.3628
Pt Cr Rh
1 2 1
Direct
0.5000 0.0000 0.5505 Pt
0.0000 0.5000 0.7191 Cr
0.0000 0.0000 0.0369 Cr
0.5000 0.5000 0.1936 Rh


No. 5
Zr6Ag7F31 SCAN PBEsol geometry; magnetic moment = 0.424 μB per formula unit; calculated density = 5.802 g cm⁻³; space group = No. 148; energy relative to the elements, uncorrected = -3.11 eV/atom
1.0
-5.5047 6.1958 -2.4558
-0.9783 -0.9657 8.5341
7.9694 3.1013 -1.2614
F Ag Zr
31 7 6
Direct
0.5502 0.0200 0.1495 F
0.0200 0.1495 0.5502 F
0.1603 0.0465 0.7869 F
0.7072 0.0566 0.5259 F
0.9434 0.4741 0.2928 F
0.2928 0.9434 0.4741 F
0.8505 0.4498 0.9800 F
0.0465 0.7869 0.1603 F
0.8397 0.9535 0.2131 F
0.1495 0.5502 0.0200 F
0.7468 0.6937 0.9087 F
0.9800 0.8505 0.4498 F
0.0913 0.2532 0.3063 F
0.3274 0.2580 0.5616 F
0.4741 0.2928 0.9434 F
0.5616 0.3274 0.2580 F
0.2580 0.5616 0.3274 F
0.5259 0.7072 0.0566 F
0.0566 0.5259 0.7072 F
0.9535 0.2131 0.8397 F
0.7869 0.1603 0.0465 F
0.6937 0.9087 0.7468 F
0.2131 0.8397 0.9535 F
0.2532 0.3063 0.0913 F
0.4498 0.9800 0.8505 F
0.3063 0.0913 0.2532 F
0.4384 0.6726 0.7420 F
0.6726 0.7420 0.4384 F
0.9087 0.7468 0.6937 F
0.0000 0.0000 0.0000 F
0.7420 0.4384 0.6726 F
0.4278 0.8138 0.2903 Ag
0.5722 0.1862 0.7097 Ag
0.1862 0.7097 0.5722 Ag
0.7097 0.5722 0.1862 Ag
0.2903 0.4278 0.8138 Ag
0.8138 0.2903 0.4278 Ag
0.5000 0.5000 0.5000 Ag
0.3581 0.1160 0.0360 Zr
0.1160 0.0360 0.3581 Zr
0.0360 0.3581 0.1160 Zr
0.8840 0.9640 0.6419 Zr
0.9640 0.6419 0.8840 Zr
0.6419 0.8840 0.9640 Zr


No. 6
AlAgOs SCAN PBEsol geometry; magnetic moment = 0.001 μB per formula unit; E above lowest polymorph = 898 meV/atom; energy of formation from the pure elements = 2.93 eV per formula unit; calculated density = 10.287 g cm⁻³; space group = No. 216
1.0
4.2023 0.0000 0.0000
2.1011 3.6393 0.0000
2.1011 1.2131 3.4311
Os Ag Al
1 1 1
Direct
0.5000 0.5000 0.5000 Os
0.2500 0.2500 0.2500 Ag
0.0000 0.0000 0.0000 Al


No. 7
TlInTe2 SCAN PBEsol geometry; magnetic moment = 0.000 μB per formula unit; calculated density = 7.640 g cm⁻³; space group = No. 140; energy relative to the elements, uncorrected = -0.39 eV/atom
1.0
6.9096 0.0315 0.0000
-3.2712 6.0863 0.0000
-1.8192 -3.0589 5.9226
Tl In Te
2 2 4
Direct
0.7500 0.7500 0.0000 Tl
0.2500 0.2500 0.0000 Tl
0.7500 0.2500 0.5000 In
0.2500 0.7500 0.5000 In
0.3145 0.1855 0.5000 Te
0.6855 0.8145 0.5000 Te
0.1855 0.6855 0.8710 Te
0.8145 0.3145 0.1290 Te


No. 8
MnIr3O SCAN PBEsol geometry; magnetic moment = 5.294 μB per formula unit; calculated density = 15.906 g cm⁻³; space group = No. 221; energy relative to the elements, uncorrected = 0.62 eV/atom
1.0
-0.0212 1.0112 3.9462
-4.0538 -0.3945 0.0793
0.4018 -3.9265 1.0083
Ir Mn O
3 1 1
Direct
0.0000 0.5000 0.0000 Ir
0.5000 0.0000 0.0000 Ir
0.0000 0.0000 0.5000 Ir
0.5000 0.5000 0.5000 Mn
0.0000 0.0000 0.0000 O


magnetic moment of number 8 (MnIr3O)?
5.294 μB per formula unit


Number 6 is which compound?
AlAgOs


Which of these has the highest magnetic moment?
MnIr3O


Please write out number 6 again, unchanged.
AlAgOs SCAN PBEsol geometry; magnetic moment = 0.001 μB per formula unit; E above lowest polymorph = 898 meV/atom; energy of formation from the pure elements = 2.93 eV per formula unit; calculated density = 10.287 g cm⁻³; space group = No. 216
1.0
4.2023 0.0000 0.0000
2.1011 3.6393 0.0000
2.1011 1.2131 3.4311
Os Ag Al
1 1 1
Direct
0.5000 0.5000 0.5000 Os
0.2500 0.2500 0.2500 Ag
0.0000 0.0000 0.0000 Al